1.
VASP calculation (GGA-PBE) on a relaxed PmNiPd crystal.

The space group is F-43m (No. 216) and the conventional cell measures 6.4798, 6.4798 and 6.4798 Å, with angles of 90.00, 90.00 and 90.00 degrees. Symmetry generates all atoms from Pm at (0.0000, 0.0000, 0.0000), Ni at (0.2500, 0.2500, 0.7500) and Pd at (0.2500, 0.2500, 0.2500).

The polymorph energy (0 for the lowest one) comes out at 452 meV per atom. As for the formation energy from the elements: 0.113 eV/atom. The calculation puts the volume at 22.672 A^3/atom. The total energy comes out at -15.2 eV per formula unit.

=====

2.
VASP calculation (GGA-PBE) on a relaxed Pm2Ni4Pd crystal.

The space group is I4/mmm (No. 139) and the conventional cell measures 4.5705, 4.5705 and 13.7728 Å, with angles of 90.00, 90.00 and 90.00 degrees. Symmetry generates all atoms from Pm at (0.0000, 0.0000, 0.1350), Ni at (0.0000, 0.0000, 0.3250), Ni at (0.0000, 0.5000, 0.0000) and Pd at (0.0000, 0.0000, 0.5000).

As for the formation energy from the elements: 0.275 eV/atom. The calculation puts the volume at 20.550 A^3/atom. The total energy comes out at -35.0 eV per formula unit.

=====

3.
VASP calculation (GGA-PBE) on a relaxed Pr2NiPd crystal.

The space group is Amm2 (No. 38) and the conventional cell measures 4.5467, 3.8990 and 10.8244 Å, with angles of 90.00, 90.00 and 90.00 degrees. Symmetry generates all atoms from Pr at (0.0000, 0.0000, 0.0000), Pr at (0.5000, 0.0000, 0.2749), Ni at (0.0000, 0.0000, 0.7199) and Pd at (0.5000, 0.0000, 0.5586).

As for the formation energy from the elements: -0.533 eV/atom. The calculation puts the volume at 23.987 A^3/atom. The total energy comes out at -22.4 eV per formula unit.